No. 1
Below is BeSi4 after structural relaxation, with properties calculated at the PBE level.

a = 4.258 Å, b = 4.258 Å, c = 4.258 Å
α = 90.00°, β = 90.00°, γ = 90.00°
Space group Pm-3m (No. 221)
Unique sites:
Be  0.000  0.000  0.000 (multiplicity 1)
Si  0.000  0.000  0.500 (multiplicity 3)
Si  0.500  0.500  0.500 (multiplicity 1)

## Properties
* crystal system: cubic
* formation energy from raw total energies: 796 meV/atom
* total magnetic moment: 0.0 μB/cell
* relative energy among the computed polymorphs: 1.97 eV per formula unit
* electronic total energy: -4.29 eV per atom


No. 2
Below is LiLaPmPr after structural relaxation, with properties calculated at the PBE level.

a = 8.061 Å, b = 8.061 Å, c = 8.061 Å
α = 90.00°, β = 90.00°, γ = 90.00°
Space group F-43m (No. 216)
Unique sites:
Li  0.000  0.000  0.000 (multiplicity 4)
La  0.250  0.250  0.250 (multiplicity 4)
Pm  0.000  0.000  0.500 (multiplicity 4)
Pr  0.250  0.250  0.750 (multiplicity 4)

## Properties
* formation energy from the elements: 167 meV/atom
* crystal system: cubic
* total magnetic moment: 0.0 μB/cell
* electronic total energy: -3.93 eV per atom


No. 3
Below is TbSi3NiIr after structural relaxation, with properties calculated at the PBE level.

a = 6.148 Å, b = 12.892 Å, c = 5.543 Å
α = 90.00°, β = 90.00°, γ = 90.00°
Space group Cmcm (No. 63)
Unique sites:
Tb  0.000  0.197  0.250 (multiplicity 4)
Si  0.000  0.213  0.750 (multiplicity 4)
Si  0.216  0.500  0.000 (multiplicity 8)
Ni  0.000  0.045  0.750 (multiplicity 4)
Ir  0.000  0.388  0.750 (multiplicity 4)

## Properties
* crystal system: orthorhombic
* formation energy from raw total energies: -494 meV/atom
* total magnetic moment: 0.0 μB/cell
* electronic total energy: -6.42 eV per atom


No. 4
Below is PrSm8Ge3Te4 after structural relaxation, with properties calculated at the PBE level.

a = 8.7614 Å, b = 8.7614 Å, c = 22.0807 Å
α = 90.00°, β = 90.00°, γ = 120.00°
Space group R-3m (No. 166, hexagonal axes)
Unique sites:
Pr  0.0000  0.0000  0.0000 (multiplicity 3)
Sm  0.0000  0.0000  0.2606 (multiplicity 6)
Sm  0.0252  0.5126  0.2539 (multiplicity 18)
Ge  0.0000  0.5000  0.0000 (multiplicity 9)
Te  0.0000  0.0000  0.5000 (multiplicity 3)
Te  0.0000  0.5000  0.5000 (multiplicity 9)

## Properties
* crystal system: trigonal
* formation energy from raw total energies: -899 meV/atom
* total magnetic moment: 5.7 μB/cell
* electronic total energy: -5.21 eV per atom


No. 5
Below is Li3HgPt after structural relaxation, with properties calculated at the PBE level.

a = 4.794 Å, b = 4.802 Å, c = 7.482 Å
α = 71.30°, β = 84.04°, γ = 71.99°
Space group P-1 (No. 2)
Unique sites:
Li  0.249  0.049  0.403 (multiplicity 2)
Li  0.249  0.248  0.004 (multiplicity 2)
Li  0.251  0.443  0.613 (multiplicity 2)
Hg  0.250  0.648  0.205 (multiplicity 2)
Pt  0.250  0.858  0.782 (multiplicity 2)

## Properties
* formation energy from the elements: -436 meV/atom
* crystal system: triclinic
* total magnetic moment: 0.0 μB/cell
* relative energy among the computed polymorphs: 0.00 eV per formula unit
* electronic total energy: -2.85 eV per atom


No. 6
Below is CaPm2TlHg4 after structural relaxation, with properties calculated at the PBE level.

a = 5.2825 Å, b = 5.2825 Å, c = 26.4196 Å
α = 90.00°, β = 90.00°, γ = 120.00°
Space group R-3m (No. 166, hexagonal axes)
Unique sites:
Ca  0.0000  0.0000  0.0000 (multiplicity 3)
Pm  0.0000  0.0000  0.2438 (multiplicity 6)
Tl  0.0000  0.0000  0.5000 (multiplicity 3)
Hg  0.0000  0.0000  0.1199 (multiplicity 6)
Hg  0.0000  0.0000  0.3676 (multiplicity 6)

## Properties
* formation energy from the elements: -445 meV/atom
* crystal system: trigonal
* total magnetic moment: 0.0 μB/cell
* electronic total energy: -2.33 eV per atom


No. 7
Below is U2OsPd after structural relaxation, with properties calculated at the PBE level.

a = 3.021 Å, b = 3.021 Å, c = 8.332 Å
α = 90.00°, β = 90.00°, γ = 90.00°
Space group P4/mmm (No. 123)
Unique sites:
U  0.000  0.000  0.236 (multiplicity 2)
Os  0.500  0.500  0.000 (multiplicity 1)
Pd  0.500  0.500  0.500 (multiplicity 1)

## Properties
* formation energy from the elements: -105 meV/atom
* crystal system: tetragonal
* total magnetic moment: 2.1 μB/cell
* electronic total energy: -9.85 eV per atom


No. 8
Below is UGaNiOs after structural relaxation, with properties calculated at the PBE level.

a = 6.431 Å, b = 6.431 Å, c = 6.431 Å
α = 90.00°, β = 90.00°, γ = 90.00°
Space group F-43m (No. 216)
Unique sites:
U  0.000  0.000  0.000 (multiplicity 4)
Ga  0.000  0.000  0.500 (multiplicity 4)
Ni  0.250  0.250  0.250 (multiplicity 4)
Os  0.250  0.250  0.750 (multiplicity 4)

## Properties
* formation energy from the elements: -83 meV/atom
* crystal system: cubic
* total magnetic moment: 3.8 μB/cell
* electronic total energy: -7.91 eV per atom


No. 9
Below is SmEr3Mg after structural relaxation, with properties calculated at the PBE level.

a = 3.619 Å, b = 6.648 Å, c = 12.937 Å
α = 86.75°, β = 89.98°, γ = 74.21°
Space group P-1 (No. 2)
Unique sites:
Sm  0.235  0.030  0.266 (multiplicity 2)
Er  0.034  0.432  0.687 (multiplicity 2)
Er  0.152  0.197  0.935 (multiplicity 2)
Er  0.367  0.766  0.521 (multiplicity 2)
Mg  0.439  0.623  0.879 (multiplicity 2)

## Properties
* formation energy from the elements: -14 meV/atom
* crystal system: triclinic
* total magnetic moment: 0.0 μB/cell
* relative energy among the computed polymorphs: 0.00 eV per formula unit
* electronic total energy: -4.01 eV per atom


No. 10
Below is VRuRh after structural relaxation, with properties calculated at the PBE level.

a = 4.2314 Å, b = 4.2314 Å, c = 5.3514 Å
α = 90.00°, β = 90.00°, γ = 120.00°
Space group P6_3/mmc (No. 194)
Unique sites:
V  0.3333  0.6667  0.2500 (multiplicity 2)
Ru  0.0000  0.0000  0.0000 (multiplicity 2)
Rh  0.3333  0.6667  0.7500 (multiplicity 2)

## Properties
* formation energy from the elements: -283 meV/atom
* crystal system: hexagonal
* total magnetic moment: 0.0 μB/cell
* relative energy among the computed polymorphs: 0.00 eV per formula unit
* electronic total energy: -8.87 eV per atom


No. 11
Below is Cd2InRu after structural relaxation, with properties calculated at the PBE level.

a = 5.707 Å, b = 7.988 Å, c = 3.421 Å
α = 90.00°, β = 90.00°, γ = 90.00°
Space group Cmmm (No. 65)
Unique sites:
Cd  0.250  0.250  0.000 (multiplicity 4)
In  0.000  0.000  0.500 (multiplicity 2)
Ru  0.000  0.500  0.500 (multiplicity 2)

## Properties
* formation energy from the elements: 265 meV/atom
* crystal system: orthorhombic
* total magnetic moment: 0.0 μB/cell
* relative energy among the computed polymorphs: 0.71 eV per formula unit
* electronic total energy: -3.20 eV per atom


No. 12
Below is YFe2TcW after structural relaxation, with properties calculated at the PBE level.

a = 4.608 Å, b = 4.608 Å, c = 4.733 Å
α = 90.00°, β = 90.00°, γ = 90.00°
Space group P4/mmm (No. 123)
Unique sites:
Y  0.000  0.000  0.000 (multiplicity 1)
Fe  0.000  0.500  0.500 (multiplicity 2)
Tc  0.500  0.500  0.500 (multiplicity 1)
W  0.500  0.500  0.000 (multiplicity 1)

## Properties
* formation energy from the elements: 995 meV/atom
* crystal system: tetragonal
* total magnetic moment: 4.9 μB/cell
* electronic total energy: -8.35 eV per atom